Density functional theory data (PBE-GGA) for a relaxed Ho3Mg3Hg2Ir crystal.

a b c (Å): 7.424 7.424 4.372
angles (deg): 90.00 90.00 120.00
Atoms (fractional coordinates):
Mg: 0.767 0.000 0.500
Mg: 0.233 0.233 0.500
Mg: 0.000 0.767 0.500
Hg: 0.667 0.333 0.500
Hg: 0.333 0.667 0.500
Ho: 0.000 0.389 0.000
Ho: 0.611 0.611 0.000
Ho: 0.389 0.000 0.000
Ir: 0.000 0.000 0.000

Output
* final energy: -3.560 eV per atom
* SG: P-62m, No. 189
* size of the total moment: 0.1 μB/f.u.

---

Density functional theory data (PBE-GGA) for a relaxed DyCuHgTe3 crystal.

a b c (Å): 7.764 7.764 11.167
angles (deg): 90.00 90.00 149.48
Atoms (fractional coordinates):
Dy: 0.000 0.000 0.000
Dy: 0.000 0.000 0.500
Te: 0.089 0.911 0.750
Te: 0.360 0.640 0.925
Te: 0.360 0.640 0.575
Te: 0.640 0.360 0.425
Te: 0.911 0.089 0.250
Te: 0.640 0.360 0.075
Cu: 0.474 0.526 0.750
Cu: 0.526 0.474 0.250
Hg: 0.750 0.250 0.750
Hg: 0.250 0.750 0.250

Output
* final energy: -3.539 eV per atom
* SG: Cmcm, No. 63
* size of the total moment: 0.0 μB/f.u.

---

Density functional theory data (PBE-GGA) for a relaxed LaGdNi2B2N2 crystal.

a b c (Å): 3.625 3.625 7.536
angles (deg): 90.00 90.00 90.00
Atoms (fractional coordinates):
N: 0.500 0.500 0.848
N: 0.000 0.000 0.156
B: 0.500 0.500 0.654
B: 0.000 0.000 0.349
Ni: 0.500 0.000 0.497
Ni: 0.000 0.500 0.497
La: 0.000 0.000 0.828
Gd: 0.500 0.500 0.172

Output
* final energy: -7.334 eV per atom
* SG: P4mm, No. 99
* size of the total moment: 0.0 μB/f.u.